Entry from the Alexandria database: a relaxed Ac6TbPm5 crystal (PBE).

a = 10.0862 Å, b = 10.0862 Å, c = 10.0862 Å
α = 148.47°, β = 117.56°, γ = 71.63°
Fractional positions:
1 Ac 0.0830 0.3338 0.7492
2 Ac 0.2485 0.0000 0.2485
3 Ac 0.4153 0.6662 0.7492
4 Ac 0.5847 0.3338 0.2508
5 Ac 0.7515 0.0000 0.7515
6 Ac 0.9170 0.6662 0.2508
7 Tb 0.0000 0.5000 0.5000
8 Pm 0.1666 0.1666 0.0000
9 Pm 0.3338 0.8338 0.5000
10 Pm 0.5000 0.5000 0.0000
11 Pm 0.6662 0.1662 0.5000
12 Pm 0.8334 0.8334 0.0000

Values from the calculation:
Final energy ... -4.39 eV per atom
Total magnetization ... 0.000 Bohr magnetons per cell
Calculated density ... 8.0 g/cm3



Entry from the Alexandria database: a relaxed AcTb5Pm12 crystal (PBE).

a = 10.5457 Å, b = 10.5457 Å, c = 6.0618 Å
α = 90.26°, β = 90.26°, γ = 113.26°
Fractional positions:
1 Ac 0.0000 0.0000 0.0000
2 Tb 0.1691 0.8309 0.5000
3 Tb 0.3238 0.6762 0.0000
4 Tb 0.5000 0.5000 0.5000
5 Tb 0.6762 0.3238 0.0000
6 Tb 0.8309 0.1691 0.5000
7 Pm 0.0179 0.3508 0.9379
8 Pm 0.1582 0.4912 0.4412
9 Pm 0.1780 0.1780 0.5333
10 Pm 0.3395 0.3395 0.0322
11 Pm 0.3508 0.0179 0.9379
12 Pm 0.4912 0.1582 0.4412
13 Pm 0.5088 0.8418 0.5588
14 Pm 0.6492 0.9821 0.0621
15 Pm 0.6605 0.6605 0.9678
16 Pm 0.8220 0.8220 0.4667
17 Pm 0.8418 0.5088 0.5588
18 Pm 0.9821 0.6492 0.0621

Values from the calculation:
Final energy ... -4.57 eV per atom
Total magnetization ... 0.000 Bohr magnetons per cell
Calculated density ... 7.4 g/cm3



Entry from the Alexandria database: a relaxed AcTb2Pm3 crystal (PBE).

a = 7.8593 Å, b = 7.8593 Å, c = 6.8288 Å
α = 90.00°, β = 90.00°, γ = 89.01°
Fractional positions:
1 Ac 0.1054 0.8946 0.7500
2 Ac 0.8946 0.1054 0.2500
3 Tb 0.0932 0.5929 0.2500
4 Tb 0.4071 0.9068 0.2500
5 Tb 0.5929 0.0932 0.7500
6 Tb 0.9068 0.4071 0.7500
7 Pm 0.2568 0.2568 0.0000
8 Pm 0.2568 0.2568 0.5000
9 Pm 0.4119 0.5881 0.7500
10 Pm 0.5881 0.4119 0.2500
11 Pm 0.7432 0.7432 0.0000
12 Pm 0.7432 0.7432 0.5000

Values from the calculation:
Total magnetization ... 0.000 Bohr magnetons per cell
Energy relative to the lowest polymorph listed for this composition ... 119.8 meV per atom
Calculated density ... 7.7 g/cm3



Entry from the Alexandria database: a relaxed Ac4TbPm2 crystal (PBE).

a = 6.2459 Å, b = 24.5619 Å, c = 3.7385 Å
α = 90.00°, β = 90.00°, γ = 90.00°
Fractional positions:
1 Ac 0.0000 0.0784 0.0000
2 Ac 0.0000 0.3636 0.5000
3 Ac 0.0000 0.6364 0.5000
4 Ac 0.0000 0.9216 0.0000
5 Ac 0.5000 0.1364 0.5000
6 Ac 0.5000 0.4216 0.0000
7 Ac 0.5000 0.5784 0.0000
8 Ac 0.5000 0.8636 0.5000
9 Tb 0.0000 0.5000 0.0000
10 Tb 0.5000 0.0000 0.0000
11 Pm 0.0000 0.2144 0.5000
12 Pm 0.0000 0.7856 0.5000
13 Pm 0.5000 0.2856 0.5000
14 Pm 0.5000 0.7144 0.5000

Values from the calculation:
Final energy ... -4.14 eV per atom
Total magnetization ... 0.000 Bohr magnetons per cell
Calculated density ... 7.9 g/cm3



Entry from the Alexandria database: a relaxed AcTb7Pm3 crystal (PBE).

a = 7.7225 Å, b = 7.7225 Å, c = 6.5694 Å
α = 93.83°, β = 93.83°, γ = 80.92°
Fractional positions:
1 Ac 0.0000 0.0000 0.0000
2 Tb 0.0000 0.0000 0.5000
3 Tb 0.0750 0.4214 0.7592
4 Tb 0.2654 0.2654 0.3000
5 Tb 0.4214 0.0750 0.7592
6 Tb 0.5786 0.9250 0.2408
7 Tb 0.7346 0.7346 0.7000
8 Tb 0.9250 0.5786 0.2408
9 Pm 0.3253 0.6747 0.5000
10 Pm 0.5000 0.5000 0.0000
11 Pm 0.6747 0.3253 0.5000

Values from the calculation:
Total magnetization ... 0.000 Bohr magnetons per cell
Energy relative to the lowest polymorph listed for this composition ... 0.0 meV per atom
Calculated density ... 7.6 g/cm3



Entry from the Alexandria database: a relaxed Ac3TbPm4 crystal (PBE).

a = 5.3361 Å, b = 10.6490 Å, c = 10.6412 Å
α = 90.00°, β = 90.00°, γ = 90.00°
Fractional positions:
1 Ac 0.2500 0.0050 0.1330
2 Ac 0.2500 0.2500 0.8676
3 Ac 0.2500 0.4950 0.1330
4 Ac 0.7500 0.5050 0.8670
5 Ac 0.7500 0.7500 0.1324
6 Ac 0.7500 0.9950 0.8670
7 Tb 0.2500 0.7500 0.8634
8 Tb 0.7500 0.2500 0.1366
9 Pm 0.2500 0.2500 0.3813
10 Pm 0.2500 0.5043 0.6170
11 Pm 0.2500 0.7500 0.3848
12 Pm 0.2500 0.9957 0.6170
13 Pm 0.7500 0.0043 0.3830
14 Pm 0.7500 0.2500 0.6152
15 Pm 0.7500 0.4957 0.3830
16 Pm 0.7500 0.7500 0.6187

Values from the calculation:
Final energy ... -4.45 eV per atom
Total magnetization ... 0.000 Bohr magnetons per cell
Calculated density ... 7.8 g/cm3



Entry from the Alexandria database: a relaxed AcTb8Pm4 crystal (PBE).

a = 6.2546 Å, b = 6.2546 Å, c = 12.5283 Å
α = 102.17°, β = 102.17°, γ = 69.37°
Fractional positions:
1 Ac 0.0000 0.0000 0.0000
2 Tb 0.1753 0.6431 0.2090
3 Tb 0.1896 0.1896 0.3419
4 Tb 0.3506 0.3506 0.9358
5 Tb 0.3569 0.8247 0.7910
6 Tb 0.6431 0.1753 0.2090
7 Tb 0.6494 0.6494 0.0642
8 Tb 0.8104 0.8104 0.6581
9 Tb 0.8247 0.3569 0.7910
10 Pm 0.2601 0.7399 0.5000
11 Pm 0.2812 0.2812 0.6451
12 Pm 0.7188 0.7188 0.3549
13 Pm 0.7399 0.2601 0.5000

Values from the calculation:
Final energy ... -4.53 eV per atom
Total magnetization ... 0.000 Bohr magnetons per cell
Calculated density ... 7.8 g/cm3



Entry from the Alexandria database: a relaxed Ac2Tb5Pm4 crystal (PBE).

a = 12.4523 Å, b = 12.4523 Å, c = 9.4064 Å
α = 111.49°, β = 111.49°, γ = 16.96°
Fractional positions:
1 Ac 0.1119 0.1119 0.4250
2 Ac 0.8881 0.8881 0.5750
3 Tb 0.1312 0.1312 0.0732
4 Tb 0.2672 0.2672 0.6632
5 Tb 0.5000 0.5000 0.0000
6 Tb 0.7328 0.7328 0.3368
7 Tb 0.8688 0.8688 0.9268
8 Pm 0.0439 0.0439 0.7143
9 Pm 0.3161 0.3161 0.1628
10 Pm 0.6839 0.6839 0.8372
11 Pm 0.9561 0.9561 0.2857

Values from the calculation:
Final energy ... -4.45 eV per atom
Total magnetization ... 0.000 Bohr magnetons per cell
Calculated density ... 7.7 g/cm3



Entry from the Alexandria database: a relaxed AcTb15Pm4 crystal (PBE).

a = 5.0966 Å, b = 5.0966 Å, c = 25.3945 Å
α = 90.00°, β = 90.00°, γ = 90.00°
Fractional positions:
1 Ac 0.0000 0.0000 0.0000
2 Tb 0.0000 0.5000 0.1038
3 Tb 0.0000 0.5000 0.3018
4 Tb 0.0000 0.5000 0.5000
5 Tb 0.0000 0.5000 0.6982
6 Tb 0.0000 0.5000 0.8962
7 Tb 0.5000 0.0000 0.1038
8 Tb 0.5000 0.0000 0.3018
9 Tb 0.5000 0.0000 0.5000
10 Tb 0.5000 0.0000 0.6982
11 Tb 0.5000 0.0000 0.8962
12 Tb 0.5000 0.5000 0.0000
13 Tb 0.5000 0.5000 0.2028
14 Tb 0.5000 0.5000 0.4008
15 Tb 0.5000 0.5000 0.5992
16 Tb 0.5000 0.5000 0.7972
17 Pm 0.0000 0.0000 0.2019
18 Pm 0.0000 0.0000 0.4009
19 Pm 0.0000 0.0000 0.5991
20 Pm 0.0000 0.0000 0.7981

Values from the calculation:
Final energy ... -4.60 eV per atom
Total magnetization ... 0.000 Bohr magnetons per cell
Calculated density ... 8.0 g/cm3



Entry from the Alexandria database: a relaxed AcTb4Pm2 crystal (PBE).

a = 8.6676 Å, b = 8.6676 Å, c = 6.6104 Å
α = 90.00°, β = 90.00°, γ = 90.00°
Fractional positions:
1 Ac 0.0000 0.0000 0.0000
2 Ac 0.5000 0.5000 0.5000
3 Tb 0.1966 0.1966 0.5000
4 Tb 0.1966 0.8034 0.5000
5 Tb 0.3034 0.3034 0.0000
6 Tb 0.3034 0.6966 0.0000
7 Tb 0.6966 0.3034 0.0000
8 Tb 0.6966 0.6966 0.0000
9 Tb 0.8034 0.1966 0.5000
10 Tb 0.8034 0.8034 0.5000
11 Pm 0.0000 0.5000 0.2500
12 Pm 0.0000 0.5000 0.7500
13 Pm 0.5000 0.0000 0.2500
14 Pm 0.5000 0.0000 0.7500

Values from the calculation:
Total magnetization ... 0.000 Bohr magnetons per cell
Energy relative to the lowest polymorph listed for this composition ... 155.0 meV per atom
Calculated density ... 7.7 g/cm3



Entry from the Alexandria database: a relaxed Ac2Tb2Pm3 crystal (PBE).

a = 10.0680 Å, b = 5.8199 Å, c = 9.4983 Å
α = 90.00°, β = 110.92°, γ = 90.00°
Fractional positions:
1 Ac 0.1337 0.0000 0.4006
2 Ac 0.3663 0.5000 0.5994
3 Ac 0.6337 0.5000 0.4006
4 Ac 0.8663 0.0000 0.5994
5 Tb 0.0951 0.5000 0.7840
6 Tb 0.4049 0.0000 0.2160
7 Tb 0.5951 0.0000 0.7840
8 Tb 0.9049 0.5000 0.2160
9 Pm 0.0000 0.0000 0.0000
10 Pm 0.2271 0.5000 0.1825
11 Pm 0.2729 0.0000 0.8175
12 Pm 0.5000 0.5000 0.0000
13 Pm 0.7271 0.0000 0.1825
14 Pm 0.7729 0.5000 0.8175

Values from the calculation:
Final energy ... -4.39 eV per atom
Total magnetization ... 0.000 Bohr magnetons per cell
Calculated density ... 7.7 g/cm3



Entry from the Alexandria database: a relaxed Ac3TbPm2 crystal (PBE).

a = 7.1603 Å, b = 7.1603 Å, c = 9.4219 Å
α = 97.56°, β = 97.56°, γ = 96.15°
Fractional positions:
1 Ac 0.0547 0.9453 0.7500
2 Ac 0.2054 0.3681 0.0224
3 Ac 0.3681 0.2054 0.5224
4 Ac 0.6319 0.7946 0.4776
5 Ac 0.7946 0.6319 0.9776
6 Ac 0.9453 0.0547 0.2500
7 Tb 0.3784 0.6216 0.7500
8 Tb 0.6216 0.3784 0.2500
9 Pm 0.1164 0.6154 0.3813
10 Pm 0.3846 0.8836 0.1187
11 Pm 0.6154 0.1164 0.8813
12 Pm 0.8836 0.3846 0.6187

Values from the calculation:
Final energy ... -4.29 eV per atom
Total magnetization ... 0.000 Bohr magnetons per cell
Calculated density ... 8.0 g/cm3